# CoHgTe2 (GGA-PBE, relaxed)
# energy relative to the elements, uncorrected: 0.069 eV per atom
# calculated density: 8.2 g/cm³
data_CoHgTe2
_cell_length_a 10.269
_cell_length_b 3.769
_cell_length_c 5.787
_cell_angle_alpha 90.00
_cell_angle_beta 111.13
_cell_angle_gamma 90.00
_symmetry_space_group_name_H-M 'C 1 m 1'
_symmetry_Int_Tables_number 8
_symmetry_space_group_name_Hall 'C -2y'
loop_
_atom_site_label
_atom_site_fract_x
_atom_site_fract_y
_atom_site_fract_z
_atom_site_occupancy
Co1 0.000 0.000 0.000 1
Hg1 0.248 0.500 0.991 1
Te1 0.077 0.500 0.310 1
Te2 0.422 0.000 0.693 1